Material: Pr2Ho6Tm3Sc
Method: DFT, PBE
State: relaxed

The structure in extended XYZ format:
```
12
Lattice="3.0506 -5.2813 0.0000 3.0506 5.2813 0.0000 -2.0269 0.0000 11.5256" Properties=species:S:1:pos:R:3 pbc="T T T"
Pr 3.0506 3.5221 0.0000
Pr 3.0506 -3.5221 0.0000
Ho 0.0160 1.7431 8.6126
Ho 1.0366 0.0000 2.9163
Ho 0.0160 -1.7431 8.6126
Ho 4.0583 1.7431 2.9131
Ho 3.0377 0.0000 8.6094
Ho 4.0583 -1.7431 2.9131
Tm -1.0135 0.0000 5.7628
Tm 2.0372 1.7549 5.7628
Tm 2.0372 -1.7549 5.7628
Sc 3.0506 0.0000 0.0000
```

Properties
SG: C2/m, No. 12
Total energy in eV per formula unit: -56.414
ΔH_f (0 K) in meV per atom: 29.8

Material: PrHoTm5Sc2
Method: DFT, PBE
State: relaxed

The structure in extended XYZ format:
```
18
Lattice="2.7745 -10.6937 0.0000 2.7745 10.6937 0.0000 0.0000 0.0000 9.2314" Properties=species:S:1:pos:R:3 pbc="T T T"
Pr 2.7745 6.7274 4.6157
Pr 2.7745 -6.7274 0.0000
Ho 2.7745 2.0540 0.9056
Ho 2.7745 -2.0540 5.5213
Tm 2.7745 10.5322 4.5868
Tm 2.7745 5.0228 1.6807
Tm 2.7745 4.0853 7.3501
Tm 2.7745 2.2877 4.3406
Tm 2.7745 0.6766 7.0920
Tm 2.7745 -0.6766 2.4763
Tm 2.7745 -2.2877 8.9563
Tm 2.7745 -4.0853 2.7344
Tm 2.7745 -5.0228 6.2964
Tm 2.7745 -10.5322 9.2025
Sc 2.7745 8.2755 1.7802
Sc 2.7745 7.6704 7.6058
Sc 2.7745 -7.6704 2.9902
Sc 2.7745 -8.2755 6.3959
```

Properties
SG: Cmc2_1, No. 36
Total energy in eV per formula unit: -42.808
ΔH_f (0 K) in meV per atom: 174.4

Material: Pr2HoTm5Sc
Method: DFT, PBE
State: relaxed

The structure in extended XYZ format:
```
18
Lattice="2.7612 -9.9113 0.0000 2.7612 9.9113 0.0000 0.0000 0.0000 10.3467" Properties=species:S:1:pos:R:3 pbc="T T T"
Pr 2.7612 7.6724 5.1734
Pr 2.7612 7.6205 9.5134
Pr 2.7612 -7.6205 4.3400
Pr 2.7612 -7.6724 0.0000
Ho 2.7612 1.7999 6.6688
Ho 2.7612 -1.7999 1.4954
Tm 2.7612 9.5918 2.1133
Tm 2.7612 4.4456 5.2268
Tm 2.7612 3.9879 9.1842
Tm 2.7612 2.4449 2.1179
Tm 2.7612 0.3491 9.5739
Tm 2.7612 -0.3491 4.4006
Tm 2.7612 -2.4449 7.2913
Tm 2.7612 -3.9879 4.0108
Tm 2.7612 -4.4456 0.0535
Tm 2.7612 -9.5918 7.2867
Sc 2.7612 6.0131 2.0631
Sc 2.7612 -6.0131 7.2365
```

Properties
SG: Cmc2_1, No. 36
Total energy in eV per formula unit: -41.426
ΔH_f (0 K) in meV per atom: 155.5